Record 1
First-principles (GGA-PBE) data for an optimized crystal structure of YTcIO2, as listed in Alexandria via LeMat-Bulk.

## Properties
Formation energy from raw total energies ... -0.5761 eV/atom
Polymorph energy (0 for the lowest one) ... 51 meV per atom
Space-group type ... P4/mmm, No. 123

abc: 4.326 4.326 6.261
angles: 90.00 90.00 90.00
Element x y z (fractional)
Y  0.000  0.000  0.000
Tc  0.500  0.500  0.500
I  0.000  0.000  0.500
O  0.000  0.500  0.000
O  0.500  0.000  0.000

Record 2
First-principles (GGA-PBE) data for an optimized crystal structure of BePdN2F, as listed in Alexandria via LeMat-Bulk.

## Properties
Formation energy from raw total energies ... 1.3081 eV/atom
Polymorph energy (0 for the lowest one) ... 824 meV per atom
Space-group type ... P4/mmm, No. 123

abc: 3.964 3.964 4.154
angles: 90.00 90.00 90.00
Element x y z (fractional)
Be  0.000  0.000  0.000
Pd  0.500  0.500  0.500
N  0.000  0.500  0.500
N  0.500  0.000  0.500
F  0.500  0.500  0.000